one:
# LiLuSnPt, optimized geometry, DFT PBE-GGA
# * total magnetic moment: 0.0 μB/cell
data_LiLuSnPt
_cell_length_a 4.697
_cell_length_b 4.697
_cell_length_c 4.697
_cell_angle_alpha 60.00
_cell_angle_beta 60.00
_cell_angle_gamma 60.00
_space_group_name_H-M_alt 'P 1'
_space_group_IT_number 1
_space_group_name_Hall 'P 1'
loop_
_atom_site_label
_atom_site_type_symbol
_atom_site_fract_x
_atom_site_fract_y
_atom_site_fract_z
Sn1 Sn 0.500 0.500 0.500
Li1 Li 0.250 0.250 0.250
Pt1 Pt 0.750 0.750 0.750
Lu1 Lu 0.000 0.000 0.000

=====

two:
# LiLuSnPt, optimized geometry, DFT PBE-GGA
# * total magnetic moment: 0.0 μB/cell
data_LiLuSnPt
_cell_length_a 4.801
_cell_length_b 4.801
_cell_length_c 4.801
_cell_angle_alpha 60.00
_cell_angle_beta 60.00
_cell_angle_gamma 60.00
_space_group_name_H-M_alt 'P 1'
_space_group_IT_number 1
_space_group_name_Hall 'P 1'
loop_
_atom_site_label
_atom_site_type_symbol
_atom_site_fract_x
_atom_site_fract_y
_atom_site_fract_z
Pt1 Pt 0.500 0.500 0.500
Sn1 Sn 0.000 0.000 0.000
Lu1 Lu 0.250 0.250 0.250
Li1 Li 0.750 0.750 0.750

=====

In order of decreasing stability: one, two.